An optimized crystal structure of TePtSe2N, computed with PBE.

Results
M_tot: 0.0 μB per cell
E above lowest polymorph: 0 meV/atom
Fermi-level density of states: 0.877 states/eV per atom
Space group: P4/mmm (123)
E_form (uncorrected): 0.5465 eV/atom
E: -4.35 eV/atom

Unit cell a=5.2867 b=5.2867 c=3.7110 alpha=90.00 beta=90.00 gamma=90.00
Element x y z (fractional)
Te 0.5000 0.5000 0.5000
Se 0.0000 0.5000 0.0000
Se 0.5000 0.0000 0.0000
Pt 0.0000 0.0000 0.0000
N 0.0000 0.0000 0.5000



An optimized crystal structure of Mg4HgCl, computed with PBE.

Results
M_tot: 0.0 μB per cell
Fermi-level density of states: 0.555 states/eV per atom
Space group: F-43m (216)
E_form (uncorrected): -0.0482 eV/atom
E: -1.47 eV/atom

Unit cell a=5.9092 b=5.9092 c=5.9092 alpha=60.00 beta=60.00 gamma=60.00
Element x y z (fractional)
Mg 0.8779 0.3740 0.3740
Mg 0.3740 0.3740 0.8779
Mg 0.3740 0.8779 0.3740
Mg 0.3740 0.3740 0.3740
Hg 0.0000 0.0000 0.0000
Cl 0.7500 0.7500 0.7500



An optimized crystal structure of Ti2Sn2Au, computed with PBE.

Results
M_tot: 1.8 μB per cell
E above lowest polymorph: 0 meV/atom
Fermi-level density of states: 0.392 states/eV per atom
Energy relative to the elements: -0.167 eV/atom
Space group: P4/mbm (127)
E: -5.58 eV/atom

Unit cell a=7.0777 b=7.0777 c=4.0859 alpha=90.00 beta=90.00 gamma=90.00
Last column: magnetic moment on the atom in μB.
Element x y z (fractional)
Au 0.0000 0.0000 0.0000  0.01
Au 0.5000 0.5000 0.0000  0.01
Sn 0.1714 0.6714 0.5000  -0.02
Sn 0.6714 0.8286 0.5000  -0.02
Sn 0.8286 0.3286 0.5000  -0.02
Sn 0.3286 0.1714 0.5000  -0.02
Ti 0.3688 0.8688 0.0000  0.40
Ti 0.8688 0.6312 0.0000  0.42
Ti 0.6312 0.1312 0.0000  0.40
Ti 0.1312 0.3688 0.0000  0.42



An optimized crystal structure of AcGe3, computed with PBE.

Results
M_tot: 0.0 μB per cell
E above lowest polymorph: 37 meV/atom
Fermi-level density of states: 0.293 states/eV per atom
Energy relative to the elements: -0.410 eV/atom
Space group: Pmm2 (25)
E: -4.90 eV/atom

Unit cell a=4.5505 b=4.1937 c=5.1849 alpha=90.00 beta=90.00 gamma=90.00
Element x y z (fractional)
Ac 0.5000 0.0000 0.6444
Ge 0.0000 0.0000 0.1157
Ge 0.0000 0.5000 0.4348
Ge 0.5000 0.5000 0.1384



An optimized crystal structure of Y2FeRh, computed with PBE.

Results
M_tot: 3.4 μB per cell
Fermi-level density of states: 1.293 states/eV per atom
Energy relative to the elements: 0.095 eV/atom
Space group: I-42d (122)
E: -7.09 eV/atom

Unit cell a=7.4748 b=7.4748 c=6.1286 alpha=52.42 beta=52.42 gamma=90.00
Last column: magnetic moment on the atom in μB.
Element x y z (fractional)
Y 0.6350 0.1250 0.2500  -0.21
Y 0.1150 0.6250 0.2500  -0.21
Y 0.3750 0.3650 0.7500  -0.21
Y 0.8750 0.8850 0.7500  -0.21
Rh 0.0000 0.0000 0.0000  0.04
Rh 0.7500 0.2500 0.5000  0.04
Fe 0.5000 0.5000 0.0000  2.33
Fe 0.2500 0.7500 0.5000  2.33



An optimized crystal structure of Pb2OF2, computed with PBE.

Results
M_tot: 0.0 μB per cell
Fermi-level density of states: 0.000 states/eV per atom
Space group: P4_2/nmc (137)
E_form (uncorrected): -1.9008 eV/atom
E: -5.12 eV/atom

Unit cell a=8.3706 b=8.3706 c=5.8359 alpha=90.00 beta=90.00 gamma=90.00
Element x y z (fractional)
Pb 0.5000 0.2206 0.2013
Pb 0.5000 0.7794 0.2013
Pb 0.2794 0.0000 0.7013
Pb 0.7206 0.0000 0.7013
Pb 0.2206 0.5000 0.7987
Pb 0.0000 0.2794 0.2987
Pb 0.0000 0.7206 0.2987
Pb 0.7794 0.5000 0.7987
O 0.5000 0.0000 0.9261
O 0.5000 0.0000 0.4261
O 0.0000 0.5000 0.5739
O 0.0000 0.5000 0.0739
F 0.2843 0.7157 0.5000
F 0.2157 0.2157 0.0000
F 0.7843 0.7843 0.0000
F 0.7157 0.2843 0.5000
F 0.7843 0.2157 0.0000
F 0.7157 0.7157 0.5000
F 0.2843 0.2843 0.5000
F 0.2157 0.7843 0.0000



Question: Which of these has the lowest E?
Answer: Y2FeRh